Entry 1:
# PrSm5Tl2 PBE-GGA optimized geometry
# E above lowest polymorph = 2.04 kcal/mol of atoms
# Formation energy from the elements = -0.039 eV/atom
# Total magnetization = 0.0 μB per cell
data_PrSm5Tl2
_chemical_formula_sum 'Pr2 Sm10 Tl4'
_space_group_name_H-M_alt 'P 63/m m c'
_space_group_IT_number 194
_space_group_name_Hall '-P 6c 2c'
_cell_length_a 5.5597
_cell_length_b 5.5597
_cell_length_c 20.3514
_cell_angle_alpha 90.00
_cell_angle_beta 90.00
_cell_angle_gamma 120.00
loop_
_atom_site_label
_atom_site_type_symbol
_atom_site_fract_x
_atom_site_fract_y
_atom_site_fract_z
Pr1 Pr 0.3333 0.6667 0.2500
Sm1 Sm 0.0000 0.0000 0.1622
Sm2 Sm 0.3333 0.6667 0.5653
Sm3 Sm 0.3333 0.6667 0.7500
Tl1 Tl 0.3333 0.6667 0.0911

Entry 2:
# Pr8SmTl6 PBE-GGA optimized geometry
# Formation energy from the elements = -0.176 eV/atom
# Total magnetization = 0.0 μB per cell
data_Pr8SmTl6
_chemical_formula_sum 'Pr24 Sm3 Tl18'
_space_group_name_H-M_alt 'R -3'
_space_group_IT_number 148
_space_group_name_Hall '-R 3'
_cell_length_a 9.4050
_cell_length_b 9.4050
_cell_length_c 20.0754
_cell_angle_alpha 90.00
_cell_angle_beta 90.00
_cell_angle_gamma 120.00
loop_
_atom_site_label
_atom_site_type_symbol
_atom_site_fract_x
_atom_site_fract_y
_atom_site_fract_z
Pr1 Pr 0.0000 0.0000 0.1659
Pr2 Pr 0.0004 0.3355 0.3867
Sm1 Sm 0.0000 0.0000 0.5000
Tl1 Tl 0.9996 0.3289 0.5567

Entry 3:
# PrSm4Tl2 PBE-GGA optimized geometry
# E above lowest polymorph = 4.54 kcal/mol of atoms
# Formation energy from the elements = 0.075 eV/atom
# Total magnetization = 2.7 μB per cell
data_PrSm4Tl2
_chemical_formula_sum 'Pr3 Sm12 Tl6'
_space_group_name_H-M_alt 'R -3 m'
_space_group_IT_number 166
_space_group_name_Hall '-R 3 2"'
_cell_length_a 5.2160
_cell_length_b 5.2160
_cell_length_c 31.8517
_cell_angle_alpha 90.00
_cell_angle_beta 90.00
_cell_angle_gamma 120.00
loop_
_atom_site_label
_atom_site_type_symbol
_atom_site_fract_x
_atom_site_fract_y
_atom_site_fract_z
Pr1 Pr 0.0000 0.0000 0.0000
Sm1 Sm 0.0000 0.0000 0.2043
Sm2 Sm 0.0000 0.0000 0.3905
Tl1 Tl 0.0000 0.0000 0.1009

Entry 4:
# PrSm5Tl8 PBE-GGA optimized geometry
# Formation energy from the elements = -0.290 eV/atom
# Total magnetization = 0.0 μB per cell
data_PrSm5Tl8
_chemical_formula_sum 'Pr2 Sm10 Tl16'
_space_group_name_H-M_alt 'I -4'
_space_group_IT_number 82
_cell_length_a 9.416
_cell_length_b 9.416
_cell_length_c 9.517
_cell_angle_alpha 90.00
_cell_angle_beta 90.00
_cell_angle_gamma 90.00
loop_
_space_group_symop_operation_xyz
'x,y,z'
'y,-x,-z'
'-x,-y,z'
'-y,x,-z'
'x+1/2,y+1/2,z+1/2'
'y+1/2,-x+1/2,-z+1/2'
'-x+1/2,-y+1/2,z+1/2'
'-y+1/2,x+1/2,-z+1/2'
loop_
_atom_site_label
_atom_site_type_symbol
_atom_site_fract_x
_atom_site_fract_y
_atom_site_fract_z
Pr1 Pr 0.000 0.000 0.000
Sm1 Sm 0.000 0.500 0.750
Sm2 Sm 0.128 0.750 0.373
Tl1 Tl 0.083 0.663 0.043
Tl2 Tl 0.084 0.833 0.702

Entry 5:
# Pr4SmTl3 PBE-GGA optimized geometry
# E above lowest polymorph = 2.18 kcal/mol of atoms
# Formation energy from the elements = -0.150 eV/atom
# Total magnetization = 0.0 μB per cell
data_Pr4SmTl3
_chemical_formula_sum 'Pr8 Sm2 Tl6'
_space_group_name_H-M_alt 'C 1 2/m 1'
_space_group_IT_number 12
_cell_length_a 15.594
_cell_length_b 3.685
_cell_length_c 9.135
_cell_angle_alpha 90.00
_cell_angle_beta 96.45
_cell_angle_gamma 90.00
loop_
_space_group_symop_operation_xyz
'x,y,z'
'-x,-y,-z'
'-x,y,-z'
'x,-y,z'
'x+1/2,y+1/2,z'
'-x+1/2,-y+1/2,-z'
'-x+1/2,y+1/2,-z'
'x+1/2,-y+1/2,z'
loop_
_atom_site_label
_atom_site_type_symbol
_atom_site_fract_x
_atom_site_fract_y
_atom_site_fract_z
Pr1 Pr 0.134 0.000 0.227
Pr2 Pr 0.163 0.000 0.859
Sm1 Sm 0.000 0.000 0.500
Tl1 Tl 0.000 0.500 0.000
Tl2 Tl 0.174 0.500 0.550

Entry 6:
# Pr4SmTl2 PBE-GGA optimized geometry
# E above lowest polymorph = 2.13 kcal/mol of atoms
# Formation energy from the elements = 0.002 eV/atom
# Total magnetization = 0.0 μB per cell
data_Pr4SmTl2
_chemical_formula_sum 'Pr16 Sm4 Tl8'
_space_group_name_H-M_alt 'C 1 2/c 1'
_space_group_IT_number 15
_cell_length_a 13.179
_cell_length_b 12.385
_cell_length_c 6.903
_cell_angle_alpha 90.00
_cell_angle_beta 121.52
_cell_angle_gamma 90.00
loop_
_space_group_symop_operation_xyz
'x,y,z'
'-x,-y,-z'
'-x,y,-z+1/2'
'x,-y,z+1/2'
'x+1/2,y+1/2,z'
'-x+1/2,-y+1/2,-z'
'-x+1/2,y+1/2,-z+1/2'
'x+1/2,-y+1/2,z+1/2'
loop_
_atom_site_label
_atom_site_type_symbol
_atom_site_fract_x
_atom_site_fract_y
_atom_site_fract_z
Pr1 Pr 0.000 0.245 0.012
Pr2 Pr 0.236 0.410 0.485
Sm1 Sm 0.000 0.031 0.750
Tl1 Tl 0.000 0.500 0.000
Tl2 Tl 0.250 0.250 0.000

Entry 7:
# Pr4Sm3Tl2 PBE-GGA optimized geometry
# Formation energy from the elements = -0.096 eV/atom
# Total magnetization = 0.0 μB per cell
data_Pr4Sm3Tl2
_chemical_formula_sum 'Pr16 Sm12 Tl8'
_space_group_name_H-M_alt 'C 1 2/c 1'
_space_group_IT_number 15
_cell_length_a 13.270
_cell_length_b 13.912
_cell_length_c 6.604
_cell_angle_alpha 90.00
_cell_angle_beta 95.60
_cell_angle_gamma 90.00
loop_
_space_group_symop_operation_xyz
'x,y,z'
'-x,-y,-z'
'-x,y,-z+1/2'
'x,-y,z+1/2'
'x+1/2,y+1/2,z'
'-x+1/2,-y+1/2,-z'
'-x+1/2,y+1/2,-z+1/2'
'x+1/2,-y+1/2,z+1/2'
loop_
_atom_site_label
_atom_site_type_symbol
_atom_site_fract_x
_atom_site_fract_y
_atom_site_fract_z
Pr1 Pr 0.106 0.212 0.080
Pr2 Pr 0.150 0.327 0.585
Sm1 Sm 0.000 0.470 0.250
Sm2 Sm 0.113 0.063 0.599
Tl1 Tl 0.204 0.430 0.046

Entry 8:
# Pr4Sm15Tl PBE-GGA optimized geometry
# Formation energy from the elements = -0.019 eV/atom
# Total magnetization = 0.0 μB per cell
data_Pr4Sm15Tl
_chemical_formula_sum 'Pr4 Sm15 Tl1'
_space_group_name_H-M_alt 'P 4/m m m'
_space_group_IT_number 123
_space_group_name_Hall '-P 4 2'
_cell_length_a 5.095
_cell_length_b 5.095
_cell_length_c 25.870
_cell_angle_alpha 90.00
_cell_angle_beta 90.00
_cell_angle_gamma 90.00
loop_
_atom_site_label
_atom_site_type_symbol
_atom_site_fract_x
_atom_site_fract_y
_atom_site_fract_z
Pr1 Pr 0.000 0.000 0.101
Pr2 Pr 0.000 0.000 0.303
Sm1 Sm 0.000 0.500 0.000
Sm2 Sm 0.000 0.500 0.202
Sm3 Sm 0.000 0.500 0.404
Sm4 Sm 0.500 0.500 0.102
Sm5 Sm 0.500 0.500 0.305
Sm6 Sm 0.500 0.500 0.500
Tl1 Tl 0.000 0.000 0.500

Entry 9:
# Pr6SmTl3 PBE-GGA optimized geometry
# Formation energy from the elements = -0.111 eV/atom
# Total magnetization = 0.0 μB per cell
data_Pr6SmTl3
_chemical_formula_sum 'Pr24 Sm4 Tl12'
_space_group_name_H-M_alt 'C m c 21'
_space_group_IT_number 36
_cell_length_a 10.885
_cell_length_b 15.982
_cell_length_c 7.948
_cell_angle_alpha 90.00
_cell_angle_beta 90.00
_cell_angle_gamma 90.00
loop_
_space_group_symop_operation_xyz
'x,y,z'
'-x,-y,z+1/2'
'-x,y,z'
'x,-y,z+1/2'
'x+1/2,y+1/2,z'
'-x+1/2,-y+1/2,z+1/2'
'-x+1/2,y+1/2,z'
'x+1/2,-y+1/2,z+1/2'
loop_
_atom_site_label
_atom_site_type_symbol
_atom_site_fract_x
_atom_site_fract_y
_atom_site_fract_z
Pr1 Pr 0.000 0.046 0.000
Pr2 Pr 0.000 0.299 0.847
Pr3 Pr 0.231 0.311 0.501
Pr4 Pr 0.233 0.465 0.815
Sm1 Sm 0.000 0.202 0.297
Tl1 Tl 0.000 0.446 0.526
Tl2 Tl 0.146 0.133 0.642

Entry 10:
# Pr12SmTl7 PBE-GGA optimized geometry
# Formation energy from the elements = -0.050 eV/atom
# Total magnetization = 0.0 μB per cell
data_Pr12SmTl7
_chemical_formula_sum 'Pr36 Sm3 Tl21'
_space_group_name_H-M_alt 'R -3'
_space_group_IT_number 148
_space_group_name_Hall '-R 3'
_cell_length_a 14.0200
_cell_length_b 14.0200
_cell_length_c 12.3100
_cell_angle_alpha 90.00
_cell_angle_beta 90.00
_cell_angle_gamma 120.00
loop_
_atom_site_label
_atom_site_type_symbol
_atom_site_fract_x
_atom_site_fract_y
_atom_site_fract_z
Pr1 Pr 0.0186 0.4402 0.2607
Pr2 Pr 0.0643 0.1896 0.3155
Sm1 Sm 0.0000 0.0000 0.0000
Tl1 Tl 0.0000 0.0000 0.5000
Tl2 Tl 0.0965 0.2151 0.8606

Entry 11:
# Pr3Sm3Tl5 PBE-GGA optimized geometry
# Formation energy from the elements = 0.242 eV/atom
# Total magnetization = 0.0 μB per cell
data_Pr3Sm3Tl5
_chemical_formula_sum 'Pr3 Sm3 Tl5'
_space_group_name_H-M_alt 'P -6 2 m'
_space_group_IT_number 189
_space_group_name_Hall 'P -6 -2'
_cell_length_a 9.4102
_cell_length_b 9.4102
_cell_length_c 5.7667
_cell_angle_alpha 90.00
_cell_angle_beta 90.00
_cell_angle_gamma 120.00
loop_
_atom_site_label
_atom_site_type_symbol
_atom_site_fract_x
_atom_site_fract_y
_atom_site_fract_z
Pr1 Pr 0.0000 0.4444 0.0000
Sm1 Sm 0.0000 0.6949 0.5000
Tl1 Tl 0.0000 0.3304 0.5000
Tl2 Tl 0.3333 0.6667 0.5000

Entry 12:
# Pr5SmTl3 PBE-GGA optimized geometry
# Formation energy from the elements = -0.267 eV/atom
# Total magnetization = 3.5 μB per cell
data_Pr5SmTl3
_chemical_formula_sum 'Pr10 Sm2 Tl6'
_space_group_name_H-M_alt 'P 63/m c m'
_space_group_IT_number 193
_space_group_name_Hall '-P 6c 2'
_cell_length_a 9.7081
_cell_length_b 9.7081
_cell_length_c 6.9860
_cell_angle_alpha 90.00
_cell_angle_beta 90.00
_cell_angle_gamma 120.00
loop_
_atom_site_label
_atom_site_type_symbol
_atom_site_fract_x
_atom_site_fract_y
_atom_site_fract_z
Pr1 Pr 0.0000 0.3368 0.2500
Pr2 Pr 0.3333 0.6667 0.0000
Sm1 Sm 0.0000 0.0000 0.0000
Tl1 Tl 0.0000 0.3278 0.7500

Entry 13:
# PrSm9Tl2 PBE-GGA optimized geometry
# Formation energy from the elements = -0.115 eV/atom
# Total magnetization = 0.0 μB per cell
data_PrSm9Tl2
_chemical_formula_sum 'Pr1 Sm9 Tl2'
_space_group_name_H-M_alt 'P 4/m m m'
_space_group_IT_number 123
_space_group_name_Hall '-P 4 2'
_cell_length_a 4.968
_cell_length_b 4.968
_cell_length_c 15.347
_cell_angle_alpha 90.00
_cell_angle_beta 90.00
_cell_angle_gamma 90.00
loop_
_atom_site_label
_atom_site_type_symbol
_atom_site_fract_x
_atom_site_fract_y
_atom_site_fract_z
Pr1 Pr 0.000 0.000 0.000
Sm1 Sm 0.000 0.500 0.175
Sm2 Sm 0.000 0.500 0.500
Sm3 Sm 0.500 0.500 0.000
Sm4 Sm 0.500 0.500 0.340
Tl1 Tl 0.000 0.000 0.339

Entry 14:
# Pr2Sm4Tl5 PBE-GGA optimized geometry
# Formation energy from the elements = -0.046 eV/atom
# Total magnetization = 0.0 μB per cell
data_Pr2Sm4Tl5
_chemical_formula_sum 'Pr8 Sm16 Tl20'
_space_group_name_H-M_alt 'F m m m'
_space_group_IT_number 69
_space_group_name_Hall '-F 2 2'
_cell_length_a 6.748
_cell_length_b 10.832
_cell_length_c 20.700
_cell_angle_alpha 90.00
_cell_angle_beta 90.00
_cell_angle_gamma 90.00
loop_
_atom_site_label
_atom_site_type_symbol
_atom_site_fract_x
_atom_site_fract_y
_atom_site_fract_z
Pr1 Pr 0.000 0.000 0.163
Sm1 Sm 0.000 0.166 0.371
Tl1 Tl 0.000 0.000 0.500
Tl2 Tl 0.250 0.250 0.000
Tl3 Tl 0.250 0.250 0.250

Entry 15:
# Pr2Sm5Tl PBE-GGA optimized geometry
# Formation energy from the elements = 0.016 eV/atom
# Total magnetization = 0.0 μB per cell
data_Pr2Sm5Tl
_chemical_formula_sum 'Pr4 Sm10 Tl2'
_space_group_name_H-M_alt 'I m m m'
_space_group_IT_number 71
_space_group_name_Hall '-I 2 2'
_cell_length_a 3.547
_cell_length_b 9.998
_cell_length_c 15.160
_cell_angle_alpha 90.00
_cell_angle_beta 90.00
_cell_angle_gamma 90.00
loop_
_atom_site_label
_atom_site_type_symbol
_atom_site_fract_x
_atom_site_fract_y
_atom_site_fract_z
Pr1 Pr 0.000 0.000 0.223
Sm1 Sm 0.000 0.000 0.000
Sm2 Sm 0.000 0.233 0.384
Tl1 Tl 0.000 0.500 0.000

Entry 16:
# PrSm5Tl6 PBE-GGA optimized geometry
# Formation energy from the elements = -0.380 eV/atom
# Total magnetization = 0.0 μB per cell
data_PrSm5Tl6
_chemical_formula_sum 'Pr2 Sm10 Tl12'
_space_group_name_H-M_alt 'C 1 2/m 1'
_space_group_IT_number 12
_cell_length_a 9.471
_cell_length_b 16.469
_cell_length_c 5.481
_cell_angle_alpha 90.00
_cell_angle_beta 125.27
_cell_angle_gamma 90.00
loop_
_space_group_symop_operation_xyz
'x,y,z'
'-x,-y,-z'
'-x,y,-z'
'x,-y,z'
'x+1/2,y+1/2,z'
'-x+1/2,-y+1/2,-z'
'-x+1/2,y+1/2,-z'
'x+1/2,-y+1/2,z'
loop_
_atom_site_label
_atom_site_type_symbol
_atom_site_fract_x
_atom_site_fract_y
_atom_site_fract_z
Pr1 Pr 0.000 0.000 0.000
Sm1 Sm 0.000 0.164 0.500
Sm2 Sm 0.000 0.332 0.000
Sm3 Sm 0.000 0.500 0.500
Tl1 Tl 0.244 0.500 0.244
Tl2 Tl 0.247 0.332 0.747

Entry 17:
# PrSmTl PBE-GGA optimized geometry
# E above lowest polymorph = 0.00 kcal/mol of atoms
# Formation energy from the elements = -0.265 eV/atom
# Total magnetization = 0.0 μB per cell
data_PrSmTl
_chemical_formula_sum 'Pr4 Sm4 Tl4'
_space_group_name_H-M_alt 'C m c m'
_space_group_IT_number 63
_space_group_name_Hall '-C 2c 2'
_cell_length_a 5.582
_cell_length_b 9.682
_cell_length_c 6.864
_cell_angle_alpha 90.00
_cell_angle_beta 90.00
_cell_angle_gamma 90.00
loop_
_atom_site_label
_atom_site_type_symbol
_atom_site_fract_x
_atom_site_fract_y
_atom_site_fract_z
Pr1 Pr 0.000 0.000 0.000
Sm1 Sm 0.000 0.333 0.250
Tl1 Tl 0.000 0.334 0.750

Entry 18:
# Pr4SmTl PBE-GGA optimized geometry
# E above lowest polymorph = 2.46 kcal/mol of atoms
# Formation energy from the elements = 0.001 eV/atom
# Total magnetization = 0.0 μB per cell
data_Pr4SmTl
_chemical_formula_sum 'Pr16 Sm4 Tl4'
_space_group_name_H-M_alt 'C m c 21'
_space_group_IT_number 36
_cell_length_a 5.802
_cell_length_b 21.742
_cell_length_c 6.592
_cell_angle_alpha 90.00
_cell_angle_beta 90.00
_cell_angle_gamma 90.00
loop_
_space_group_symop_operation_xyz
'x,y,z'
'-x,-y,z+1/2'
'-x,y,z'
'x,-y,z+1/2'
'x+1/2,y+1/2,z'
'-x+1/2,-y+1/2,z+1/2'
'-x+1/2,y+1/2,z'
'x+1/2,-y+1/2,z+1/2'
loop_
_atom_site_label
_atom_site_type_symbol
_atom_site_fract_x
_atom_site_fract_y
_atom_site_fract_z
Pr1 Pr 0.000 0.043 0.000
Pr2 Pr 0.000 0.187 0.842
Pr3 Pr 0.000 0.249 0.307
Pr4 Pr 0.000 0.438 0.184
Sm1 Sm 0.000 0.364 0.702
Tl1 Tl 0.000 0.104 0.445

Entry 19:
# Pr2Sm3Tl6 PBE-GGA optimized geometry
# Formation energy from the elements = 0.100 eV/atom
# Total magnetization = 0.0 μB per cell
data_Pr2Sm3Tl6
_chemical_formula_sum 'Pr4 Sm6 Tl12'
_space_group_name_H-M_alt 'I 4/m m m'
_space_group_IT_number 139
_space_group_name_Hall '-I 4 2'
_cell_length_a 6.042
_cell_length_b 6.042
_cell_length_c 22.886
_cell_angle_alpha 90.00
_cell_angle_beta 90.00
_cell_angle_gamma 90.00
loop_
_atom_site_label
_atom_site_type_symbol
_atom_site_fract_x
_atom_site_fract_y
_atom_site_fract_z
Pr1 Pr 0.000 0.000 0.081
Sm1 Sm 0.000 0.000 0.360
Sm2 Sm 0.000 0.000 0.500
Tl1 Tl 0.000 0.000 0.222
Tl2 Tl 0.000 0.500 0.069

Entry 20:
# Pr2SmTl PBE-GGA optimized geometry
# E above lowest polymorph = 1.01 kcal/mol of atoms
# Formation energy from the elements = -0.160 eV/atom
# Total magnetization = 0.0 μB per cell
data_Pr2SmTl
_chemical_formula_sum 'Pr2 Sm1 Tl1'
_space_group_name_H-M_alt 'P 4/m m m'
_space_group_IT_number 123
_space_group_name_Hall '-P 4 2'
_cell_length_a 3.710
_cell_length_b 3.710
_cell_length_c 9.574
_cell_angle_alpha 90.00
_cell_angle_beta 90.00
_cell_angle_gamma 90.00
loop_
_atom_site_label
_atom_site_type_symbol
_atom_site_fract_x
_atom_site_fract_y
_atom_site_fract_z
Pr1 Pr 0.000 0.000 0.228
Sm1 Sm 0.500 0.500 0.500
Tl1 Tl 0.500 0.500 0.000